! Cr2FeBr, optimized geometry, DFT PBE; values from VASP
! E_form (uncorrected) in meV/atom: 432
! Crystal system: monoclinic
! ρ in g/cm³: 6.106
&SYSTEM
  ibrav = 0, nat = 4, ntyp = 3
/
ATOMIC_SPECIES
Cr 52.00 Cr.upf
Br 79.90 Br.upf
Fe 55.84 Fe.upf
CELL_PARAMETERS angstrom
7.149 0.877 -0.908
6.167 3.720 -0.908
0.366 0.126 3.027
ATOMIC_POSITIONS crystal
Cr 0.058 0.058 0.003
Cr 0.661 0.661 0.503
Br 0.306 0.306 0.491
Fe 0.474 0.474 0.503

! CrFe2Br, optimized geometry, DFT PBE; values from VASP
! E_form (uncorrected) in meV/atom: 781
! Crystal system: monoclinic
! ρ in g/cm³: 7.190
&SYSTEM
  ibrav = 0, nat = 4, ntyp = 3
/
ATOMIC_SPECIES
Fe 55.84 Fe.upf
Br 79.90 Br.upf
Cr 52.00 Cr.upf
CELL_PARAMETERS angstrom
-1.544 -1.976 3.771
1.408 -2.066 3.776
0.107 3.644 2.616
ATOMIC_POSITIONS crystal
Fe 0.514 0.514 0.452
Fe 0.986 0.986 0.048
Br 0.750 0.750 0.750
Cr 0.250 0.250 0.250

! Cr2FeBr, optimized geometry, DFT PBE; values from VASP
! E_form (uncorrected) in meV/atom: 976
! Crystal system: cubic
! ρ in g/cm³: 7.970
&SYSTEM
  ibrav = 0, nat = 4, ntyp = 3
/
ATOMIC_SPECIES
Cr 52.00 Cr.upf
Br 79.90 Br.upf
Fe 55.84 Fe.upf
CELL_PARAMETERS angstrom
0.000 2.923 2.923
2.923 0.000 2.923
2.923 2.923 0.000
ATOMIC_POSITIONS crystal
Cr 0.750 0.750 0.750
Cr 0.250 0.250 0.250
Br 0.500 0.500 0.500
Fe 0.000 0.000 0.000

! Cr3FeBr, optimized geometry, DFT PBE; values from VASP
! E_form (uncorrected) in meV/atom: 1605
! Crystal system: cubic
! ρ in g/cm³: 6.039
&SYSTEM
  ibrav = 0, nat = 5, ntyp = 3
/
ATOMIC_SPECIES
Cr 52.00 Cr.upf
Br 79.90 Br.upf
Fe 55.84 Fe.upf
CELL_PARAMETERS angstrom
4.313 0.000 0.000
0.000 4.313 0.000
0.000 0.000 4.313
ATOMIC_POSITIONS crystal
Cr 0.000 0.000 0.500
Cr 0.000 0.500 0.000
Cr 0.500 0.000 0.000
Br 0.000 0.000 0.000
Fe 0.500 0.500 0.500

! CrFe2Br, optimized geometry, DFT PBE; values from VASP
! E_form (uncorrected) in meV/atom: 940
! Crystal system: tetragonal
! ρ in g/cm³: 7.872
&SYSTEM
  ibrav = 0, nat = 4, ntyp = 3
/
ATOMIC_SPECIES
Fe 55.84 Fe.upf
Cr 52.00 Cr.upf
Br 79.90 Br.upf
CELL_PARAMETERS angstrom
-0.823 2.102 -3.557
2.590 -2.564 -2.114
-2.212 -1.786 -0.544
ATOMIC_POSITIONS crystal
Fe 0.500 0.500 0.000
Fe 0.000 0.000 0.000
Cr 0.000 0.500 0.500
Br 0.500 0.000 0.500

! CrFe2Br, optimized geometry, DFT PBE; values from VASP
! E_form (uncorrected) in meV/atom: 925
! Crystal system: tetragonal
! ρ in g/cm³: 6.906
&SYSTEM
  ibrav = 0, nat = 4, ntyp = 3
/
ATOMIC_SPECIES
Br 79.90 Br.upf
Fe 55.84 Fe.upf
Cr 52.00 Cr.upf
CELL_PARAMETERS angstrom
-4.069 -0.522 2.382
-2.649 -3.285 -2.166
4.518 -0.054 1.444
ATOMIC_POSITIONS crystal
Br 0.500 0.500 0.000
Fe 0.000 0.000 0.000
Fe 0.250 0.750 0.500
Cr 0.750 0.250 0.500

! Cr2FeBr, optimized geometry, DFT PBE; values from VASP
! E_form (uncorrected) in meV/atom: 520
! Crystal system: orthorhombic
! ρ in g/cm³: 6.397
&SYSTEM
  ibrav = 0, nat = 4, ntyp = 3
/
ATOMIC_SPECIES
Cr 52.00 Cr.upf
Br 79.90 Br.upf
Fe 55.84 Fe.upf
CELL_PARAMETERS angstrom
-1.217 1.699 2.259
-2.819 -0.933 -0.809
0.509 -5.100 4.111
ATOMIC_POSITIONS crystal
Cr 0.500 0.500 0.260
Cr 0.000 0.000 0.052
Br 0.500 0.500 0.731
Fe 0.000 0.000 0.458

! Cr2FeBr, optimized geometry, DFT PBE; values from VASP
! E_form (uncorrected) in meV/atom: 672
! Crystal system: monoclinic
! ρ in g/cm³: 5.560
&SYSTEM
  ibrav = 0, nat = 4, ntyp = 3
/
ATOMIC_SPECIES
Cr 52.00 Cr.upf
Fe 55.84 Fe.upf
Br 79.90 Br.upf
CELL_PARAMETERS angstrom
-1.055 -4.197 -0.721
1.063 -3.334 -2.646
4.101 -4.672 2.420
ATOMIC_POSITIONS crystal
Cr 0.523 0.523 0.617
Cr 0.977 0.977 0.883
Fe 0.750 0.750 0.750
Br 0.250 0.250 0.250

! Cr2FeBr, optimized geometry, DFT PBE; values from VASP
! E_form (uncorrected) in meV/atom: 591
! Crystal system: trigonal
! ρ in g/cm³: 6.369
&SYSTEM
  ibrav = 0, nat = 4, ntyp = 3
/
ATOMIC_SPECIES
Cr 52.00 Cr.upf
Br 79.90 Br.upf
Fe 55.84 Fe.upf
CELL_PARAMETERS angstrom
7.829 -0.067 -0.040
7.250 2.954 -0.040
7.250 1.388 2.608
ATOMIC_POSITIONS crystal
Cr 0.990 0.990 0.990
Cr 0.251 0.251 0.251
Br 0.751 0.751 0.751
Fe 0.509 0.509 0.509

! CrFe2Br, optimized geometry, DFT PBE; values from VASP
! E_form (uncorrected) in meV/atom: 471
! Crystal system: tetragonal
! ρ in g/cm³: 6.481
&SYSTEM
  ibrav = 0, nat = 4, ntyp = 3
/
ATOMIC_SPECIES
Fe 55.84 Fe.upf
Br 79.90 Br.upf
Cr 52.00 Cr.upf
CELL_PARAMETERS angstrom
3.083 0.000 0.000
0.000 3.083 0.000
0.000 0.000 6.568
ATOMIC_POSITIONS crystal
Fe 0.000 0.000 0.001
Fe 0.500 0.500 0.195
Br 0.000 0.000 0.509
Cr 0.500 0.500 0.795

! CrFeBr, optimized geometry, DFT PBE; values from VASP
! E_form (uncorrected) in meV/atom: 776
! Crystal system: trigonal
! ρ in g/cm³: 6.496
&SYSTEM
  ibrav = 0, nat = 3, ntyp = 3
/
ATOMIC_SPECIES
Fe 55.84 Fe.upf
Cr 52.00 Cr.upf
Br 79.90 Br.upf
CELL_PARAMETERS angstrom
-1.936 -0.192 -3.663
0.231 -3.373 2.403
-2.771 0.823 1.421
ATOMIC_POSITIONS crystal
Fe 0.333 0.667 0.828
Cr 0.667 0.333 0.333
Br 0.000 0.000 0.839

! CrFe2Br, optimized geometry, DFT PBE; values from VASP
! E_form (uncorrected) in meV/atom: 1011
! Crystal system: cubic
! ρ in g/cm³: 7.826
&SYSTEM
  ibrav = 0, nat = 4, ntyp = 3
/
ATOMIC_SPECIES
Fe 55.84 Fe.upf
Cr 52.00 Cr.upf
Br 79.90 Br.upf
CELL_PARAMETERS angstrom
0.000 2.956 2.956
2.956 0.000 2.956
2.956 2.956 0.000
ATOMIC_POSITIONS crystal
Fe 0.250 0.250 0.250
Fe 0.750 0.750 0.750
Cr 0.000 0.000 0.000
Br 0.500 0.500 0.500